[1]
TaTcCl2 (PBE-GGA, optimized geometry); ΔE to the lowest computed polymorph = 2.718 eV per formula unit; raw formation energy = 0.1787 eV/atom
1.0
3.0184 0.0000 0.0000
-1.5092 2.6141 0.0000
0.0000 0.0000 25.3461
Ta Tc Cl
3 3 6
direct
0.0000 0.0000 0.0000
0.3333 0.6667 0.6667
0.6667 0.3333 0.3333
0.0000 0.0000 0.5000
0.3333 0.6667 0.1667
0.6667 0.3333 0.8333
0.0000 0.0000 0.4067
0.0000 0.0000 0.5933
0.3333 0.6667 0.0734
0.3333 0.6667 0.2600
0.6667 0.3333 0.7400
0.6667 0.3333 0.9266

[2]
TaTcCl2 (PBE-GGA, optimized geometry); ΔE to the lowest computed polymorph = 4.882 eV per formula unit; raw formation energy = 0.7196 eV/atom
1.0
6.4802 0.0000 0.0000
0.0000 6.4802 0.0000
0.0000 0.0000 6.4802
Ta Tc Cl
4 4 8
direct
0.0000 0.0000 0.0000
0.0000 0.5000 0.5000
0.5000 0.0000 0.5000
0.5000 0.5000 0.0000
0.2500 0.2500 0.7500
0.2500 0.7500 0.2500
0.7500 0.2500 0.2500
0.7500 0.7500 0.7500
0.0000 0.0000 0.5000
0.0000 0.5000 0.0000
0.2500 0.2500 0.2500
0.2500 0.7500 0.7500
0.5000 0.0000 0.0000
0.5000 0.5000 0.5000
0.7500 0.2500 0.7500
0.7500 0.7500 0.2500

[3]
TaTc2Cl (PBE-GGA, optimized geometry); ΔE to the lowest computed polymorph = 0.892 eV per formula unit; raw formation energy = 0.3150 eV/atom
1.0
3.0305 0.0000 0.0000
0.0000 4.8199 0.0000
0.0000 0.0000 9.0741
Ta Tc Cl
2 4 2
direct
0.0000 0.0000 0.0000
0.5000 0.5000 0.0000
0.0000 0.0000 0.4819
0.0000 0.5000 0.2545
0.5000 0.0000 0.2545
0.5000 0.5000 0.4819
0.0000 0.5000 0.7727
0.5000 0.0000 0.7727

[4]
TaTc2Cl (PBE-GGA, optimized geometry); ΔE to the lowest computed polymorph = 1.131 eV per formula unit; raw formation energy = 0.3747 eV/atom
1.0
9.9181 0.0000 0.0000
0.0000 2.9774 0.0000
-0.1136 0.0000 4.3625
Ta Tc Cl
2 4 2
direct
0.0000 0.0000 0.0000
0.5000 0.5000 0.0000
0.2152 0.5000 0.2259
0.2848 0.0000 0.7741
0.7152 0.0000 0.2259
0.7848 0.5000 0.7741
0.0000 0.5000 0.5000
0.5000 0.0000 0.5000

[5]
TaTc3Cl (PBE-GGA, optimized geometry); ΔE to the lowest computed polymorph = 0.000 eV per formula unit; raw formation energy = 0.9413 eV/atom
1.0
4.3340 0.0000 0.0000
0.0000 4.3340 0.0000
0.0000 0.0000 4.3340
Ta Tc Cl
1 3 1
direct
0.0000 0.0000 0.0000
0.0000 0.5000 0.5000
0.5000 0.0000 0.5000
0.5000 0.5000 0.0000
0.5000 0.5000 0.5000

[6]
TaTcCl2 (PBE-GGA, optimized geometry); ΔE to the lowest computed polymorph = 1.868 eV per formula unit; raw formation energy = -0.0339 eV/atom
1.0
12.4838 0.0000 0.0000
0.0000 3.1758 0.0000
-0.8543 0.0000 5.2153
Ta Tc Cl
2 2 4
direct
0.0000 0.0000 0.0000
0.5000 0.5000 0.0000
0.3816 0.0000 0.1504
0.8816 0.5000 0.1504
0.1678 0.5000 0.1458
0.4274 0.0000 0.6128
0.6678 0.0000 0.1458
0.9274 0.5000 0.6128